The following is a PBE calculation of a relaxed Tb3Ho6Er crystal, from Alexandria via LeMat-Bulk.

Results
The calculation puts the density of states at the Fermi level at 1.576 states/eV per atom. The calculation puts the energy of formation from the pure elements at 122 meV/atom.

Unit cell a=6.3188 b=11.4613 c=11.4613 alpha=130.87 beta=90.00 gamma=90.00
Closest atoms and distances in Å follow each position.
Fractional positions:
1 Tb 0.4887 0.9592 0.7035  2 Tb 3.21-3.38, 5 Ho 3.23-3.54, 1 Er 3.46
2 Tb 0.9887 0.7035 0.9592  2 Tb 3.21-3.38, 5 Ho 3.23-3.54, 1 Er 3.46
3 Tb 0.0921 0.4207 0.5793  5 Ho 3.14-3.49, 2 Tb 3.38
4 Tb 0.5921 0.5793 0.4207  5 Ho 3.14-3.49, 2 Tb 3.38
5 Tb 0.9887 0.0408 0.2965  2 Tb 3.21-3.38, 5 Ho 3.23-3.54, 1 Er 3.46
6 Tb 0.4887 0.2965 0.0408  2 Tb 3.21-3.38, 5 Ho 3.23-3.54, 1 Er 3.46
7 Ho 0.0669 0.7436 0.6214  3 Tb 3.32-3.49, 4 Ho 3.48-3.64, 1 Er 3.69
8 Ho 0.5669 0.6214 0.7436  3 Tb 3.32-3.49, 4 Ho 3.48-3.64, 1 Er 3.69
9 Ho 0.3285 0.4572 0.8949  2 Tb 3.23-3.35, 3 Ho 3.36-3.54, 2 Er 3.52-3.61
10 Ho 0.8285 0.8949 0.4572  2 Tb 3.23-3.35, 3 Ho 3.36-3.54, 2 Er 3.52-3.61
11 Ho 0.3192 0.9855 0.0145  4 Ho 3.22-3.54, 1 Er 3.29, 4 Tb 3.54
12 Ho 0.7901 0.3014 0.6986  1 Tb 3.14, 1 Er 3.26, 2 Ho 3.39
13 Ho 0.2901 0.6986 0.3014  1 Tb 3.14, 1 Er 3.26, 2 Ho 3.39
14 Ho 0.8192 0.0145 0.9855  4 Ho 3.22-3.54, 1 Er 3.29, 4 Tb 3.54
15 Ho 0.3285 0.1051 0.5428  2 Tb 3.23-3.35, 3 Ho 3.36-3.54, 2 Er 3.52-3.61
16 Ho 0.8285 0.5428 0.1051  2 Tb 3.23-3.35, 3 Ho 3.36-3.54, 2 Er 3.52-3.61
17 Ho 0.0669 0.3786 0.2564  3 Tb 3.32-3.49, 4 Ho 3.48-3.64, 1 Er 3.69
18 Ho 0.5669 0.2564 0.3786  3 Tb 3.32-3.49, 4 Ho 3.48-3.64, 1 Er 3.69
19 Er 0.0157 0.1609 0.8391  6 Ho 3.26-3.61, 2 Tb 3.46
20 Er 0.5157 0.8391 0.1609  6 Ho 3.26-3.61, 2 Tb 3.46